# ScTc2Te, PBEsol geometry, DFT SCAN
# ΔE_f (raw)   -45 meV per atom
# Fermi-level density of states   0.614 states/eV/atom
# Uncorrected energy   -121.79 eV for the cell shown
# Volume   67.5 Å³/f.u.
data_ScTc2Te
_chemical_formula_sum 'Sc1 Tc2 Te1'
_cell_length_a 3.090
_cell_length_b 4.132
_cell_length_c 5.289
_cell_angle_alpha 90.00
_cell_angle_beta 90.00
_cell_angle_gamma 90.00
_space_group_name_H-M_alt 'P m m 2'
_space_group_IT_number 25
loop_
_space_group_symop_operation_xyz
'x,y,z'
'-x,-y,z'
'-x,y,z'
'x,-y,z'
loop_
_atom_site_label
_atom_site_fract_x
_atom_site_fract_y
_atom_site_fract_z
Sc1 0.000 0.000 0.000
Tc1 0.000 0.000 0.472
Tc2 0.500 0.500 0.254
Te1 0.500 0.500 0.735

***

# ScTc2Te, PBEsol geometry, DFT SCAN
# ΔE_f (raw)   429 meV per atom
# Fermi-level density of states   0.783 states/eV/atom
# Uncorrected energy   -239.79 eV for the cell shown
# Volume   70.5 Å³/f.u.
data_ScTc2Te
_chemical_formula_sum 'Sc2 Tc4 Te2'
_cell_length_a 3.340
_cell_length_b 5.080
_cell_length_c 8.305
_cell_angle_alpha 90.00
_cell_angle_beta 90.00
_cell_angle_gamma 90.00
_space_group_name_H-M_alt 'C m m m'
_space_group_IT_number 65
_space_group_name_Hall '-C 2 2'
loop_
_atom_site_label
_atom_site_fract_x
_atom_site_fract_y
_atom_site_fract_z
Sc1 0.000 0.000 0.000
Tc1 0.000 0.500 0.257
Te1 0.000 0.000 0.500